[1]
{"formula": "SiGePt", "functional": "PBE-GGA", "state": "relaxed", "dft_energy_ev_per_atom": -5.712, "de_polymorph_mev_per_atom": 0, "cell": [[0.000, 2.972, 2.972], [2.972, 0.000, 2.972], [2.972, 2.972, 0.000]], "species": ["Si", "Ge", "Pt"], "fractional_positions": [[0.000, 0.000, 0.000], [0.500, 0.500, 0.500], [0.750, 0.750, 0.750]]}

***

[2]
{"formula": "LuTaZnFe", "functional": "PBE-GGA", "state": "relaxed", "dft_energy_ev_per_atom": -6.284, "delta_e_f_ev_per_fu": 0.8, "de_polymorph_mev_per_atom": 0, "cell": [[0.000, 3.187, 3.187], [3.187, 0.000, 3.187], [3.187, 3.187, 0.000]], "species": ["Lu", "Ta", "Zn", "Fe"], "fractional_positions": [[0.000, 0.000, 0.000], [0.750, 0.750, 0.750], [0.250, 0.250, 0.250], [0.500, 0.500, 0.500]]}